## Co3B7ClO13 (PBE with a Hubbard U)

Data for a geometry-optimized Co3B7ClO13 structure.

Cell and atoms, written as extended XYZ:
```
48
Lattice="4.265 2.463 6.971 -4.265 2.463 6.971 0.000 -4.925 6.971" Properties=species:S:1:pos:R:3 pbc="T T T"
Co -1.863 -1.086 6.971
Co -0.008 2.156 6.971
Co 1.872 -1.071 6.971
Co -1.872 -1.071 17.427
Co 1.863 -1.086 17.427
Co 0.008 2.156 17.427
B 0.001 -3.414 6.541
B -2.957 1.706 6.541
B 0.000 0.000 2.282
B 0.001 -2.489 8.872
B -2.156 1.243 8.872
B -2.109 -1.219 12.357
B -1.308 -0.756 10.026
B 1.309 -0.755 10.026
B -0.001 1.511 10.026
B 0.000 0.000 12.738
B 2.110 -1.217 12.357
B -0.001 2.436 12.357
B 2.155 1.246 8.872
B 2.956 1.707 6.541
Cl 0.000 0.000 5.721
Cl 0.000 0.000 16.177
O -0.658 -2.648 7.581
O -3.585 1.270 9.323
O -2.483 -2.636 12.259
O -1.782 -0.173 8.774
O -0.999 -2.154 9.877
O -2.301 -0.568 11.067
O -1.964 1.894 7.581
O -2.899 -0.520 13.363
O 0.692 -3.739 9.323
O 1.041 -1.456 8.774
O -1.366 1.942 9.877
O -0.681 -1.193 12.809
O 0.000 0.000 10.405
O 1.643 -1.708 11.067
O -0.692 1.186 12.809
O 0.741 1.630 8.774
O -1.041 3.469 12.259
O 1.900 -2.251 13.363
O 2.622 0.754 7.581
O 0.658 2.277 11.067
O 2.365 0.212 9.877
O 1.373 0.007 12.809
O 3.524 -0.833 12.259
O 0.999 2.771 13.363
O 2.892 2.469 9.323
O 0.000 0.000 20.861
```

Calculated values
- Calculated volume: 439 Å³ per cell
- VASP energy: -355.92 eV/cell